Entry 1:
NaCd4Pd5: relaxed, PBE.

It has space group P4/mmm (No. 123), with a = 3.275 Å, b = 3.275 Å, c = 16.637 Å, α = 90.00°, β = 90.00° and γ = 90.00°. The asymmetric unit holds Na at (0.000, 0.000, 0.000), Cd at (0.000, 0.000, 0.205), Cd at (0.000, 0.000, 0.402), Pd at (0.500, 0.500, 0.112), Pd at (0.500, 0.500, 0.304) and Pd at (0.500, 0.500, 0.500).

The calculated volume comes out at 178.5 Å³ per cell. As for the calculated density: 9347 kg/m3. The energy relative to the elements comes out at -0.32 eV/atom.

=====

Entry 2:
LiZn2Pt: relaxed, PBE.

It has space group C2 (No. 5), with a = 5.391 Å, b = 5.373 Å, c = 4.715 Å, α = 90.00°, β = 124.53° and γ = 90.00°. The asymmetric unit holds Li at (0.000, 0.000, 0.000), Zn at (0.000, 0.250, 0.500), Zn at (0.000, 0.500, 0.000) and Pt at (0.000, 0.750, 0.500).

The calculated volume comes out at 112.5 Å³ per cell. As for the calculated density: 9824 kg/m3. The energy relative to the elements comes out at -0.48 eV/atom.

=====

Entry 3:
NaNdCu4: relaxed, PBE.

It has space group F-43m (No. 216), with a = 7.406 Å, b = 7.406 Å, c = 7.406 Å, α = 90.00°, β = 90.00° and γ = 90.00°. The asymmetric unit holds Na at (0.000, 0.000, 0.000), Nd at (0.250, 0.250, 0.250) and Cu at (0.127, 0.127, 0.627).

The calculated volume comes out at 406.2 Å³ per cell. As for the calculated density: 6891 kg/m3. The energy relative to the elements comes out at -0.02 eV/atom.

=====

Entry 4:
Ho3MnP2Rh9: relaxed, PBE.

It has space group P-3m1 (No. 164), with a = 6.0115 Å, b = 6.0115 Å, c = 8.6296 Å, α = 90.00°, β = 90.00° and γ = 120.00°. The asymmetric unit holds Ho at (0.0000, 0.0000, 0.0000), Ho at (0.3333, 0.6667, 0.6434), Mn at (0.0000, 0.0000, 0.5000), P at (0.3333, 0.6667, 0.1647), Rh at (0.0000, 0.5000, 0.0000) and Rh at (0.1536, 0.3072, 0.2917).

The calculated volume comes out at 270.1 Å³ per cell. As for the calculated density: 9455 kg/m3. The energy relative to the elements comes out at -0.54 eV/atom.

=====

Entry 5:
RbGeBiI2: relaxed, PBE.

It has space group P4/mmm (No. 123), with a = 6.520 Å, b = 6.520 Å, c = 5.588 Å, α = 90.00°, β = 90.00° and γ = 90.00°. The asymmetric unit holds Rb at (0.000, 0.000, 0.000), Ge at (0.500, 0.500, 0.000), Bi at (0.500, 0.500, 0.500) and I at (0.000, 0.500, 0.500).

The calculated volume comes out at 237.5 Å³ per cell. As for the calculated density: 4341 kg/m3. For the formation energy without anion corrections, the calculation gives -205 meV per atom.

=====

Entry 6:
ThSiNi3: relaxed, PBE.

It has space group Cmmm (No. 65), with a = 5.342 Å, b = 7.112 Å, c = 4.383 Å, α = 90.00°, β = 90.00° and γ = 90.00°. The asymmetric unit holds Th at (0.000, 0.000, 0.000), Si at (0.000, 0.500, 0.500), Ni at (0.000, 0.500, 0.000) and Ni at (0.250, 0.250, 0.500).

The calculated volume comes out at 166.5 Å³ per cell. As for the calculated density: 8699 kg/m3. For the relative energy among the computed polymorphs, the calculation gives 98 meV/atom. For the formation energy without anion corrections, the calculation gives -358 meV per atom.

=====

Entry 7:
CdAgW2: relaxed, PBE.

It has space group Cm (No. 8), with a = 9.500 Å, b = 2.721 Å, c = 5.407 Å, α = 90.00°, β = 94.99° and γ = 90.00°. The asymmetric unit holds Cd at (0.000, 0.000, 0.000), Ag at (0.250, 0.500, 0.224), W at (0.250, 0.000, 0.711) and W at (0.496, 0.000, 0.507).

The calculated volume comes out at 139.2 Å³ per cell. As for the calculated density: 14025 kg/m3. The energy relative to the elements comes out at 0.62 eV/atom.

=====

Entry 8:
Er2TePt: relaxed, PBE.

It has space group C2/m (No. 12), with a = 7.125 Å, b = 4.118 Å, c = 7.638 Å, α = 90.00°, β = 108.18° and γ = 90.00°. The asymmetric unit holds Er at (0.237, 0.000, 0.211), Te at (0.000, 0.000, 0.500) and Pt at (0.000, 0.500, 0.000).

The calculated volume comes out at 212.9 Å³ per cell. As for the calculated density: 10250 kg/m3. For the relative energy among the computed polymorphs, the calculation gives 9 meV/atom. For the formation energy without anion corrections, the calculation gives -1274 meV per atom.